The following is a DFT calculation (PBE) of a relaxed structure of Pm5Pt2Rh2.

Structure (CIF):
```
data_Pm5Pt2Rh2
_cell_length_a 15.018
_cell_length_b 7.699
_cell_length_c 7.679
_cell_angle_alpha 90.00
_cell_angle_beta 90.00
_cell_angle_gamma 90.00
_space_group_name_H-M_alt 'C m c e'
_space_group_IT_number 64
_space_group_name_Hall '-C 2ac 2'
loop_
_atom_site_label
_atom_site_fract_x
_atom_site_fract_y
_atom_site_fract_z
Pm1 0.000 0.000 0.000
Pm2 0.136 0.172 0.334
Pt1 0.203 0.000 0.000
Rh1 0.000 0.131 0.629
```

Values from the calculation:
M_tot   0.0 μB per formula unit
Energy of formation   -0.863 eV/atom

The following is a DFT calculation (PBE) of a relaxed structure of SrNbMo2.

Structure (CIF):
```
data_SrNbMo2
_cell_length_a 6.792
_cell_length_b 6.792
_cell_length_c 6.792
_cell_angle_alpha 90.00
_cell_angle_beta 90.00
_cell_angle_gamma 90.00
_space_group_name_H-M_alt 'F m -3 m'
_space_group_IT_number 225
_space_group_name_Hall '-F 4 2 3'
loop_
_atom_site_label
_atom_site_fract_x
_atom_site_fract_y
_atom_site_fract_z
Sr1 0.000 0.000 0.000
Nb1 0.000 0.000 0.500
Mo1 0.250 0.250 0.250
```

Values from the calculation:
M_tot   0.0 μB per formula unit
Energy of formation   0.998 eV/atom

- Which of these has the highest energy of formation?
  SrNbMo2